No. 1
Here is a geometry-optimized NaDyMgI6 structure from the Alexandria database. Energies are from PBE.

E (eV/f.u.): -27.84
Formation energy (no corrections) (eV/atom): -1.2251
Size of the total moment (μB per formula unit): 0.000
Calculated density (Mg/m³): 4.4
Space group: No. 163

Cell: 7.6275 7.6275 14.4846 Å, 90.00 90.00 120.00°
Atoms (fractional coordinates):
Na (0.0000, 0.0000, 0.0000)
Na (0.0000, 0.0000, 0.5000)
Dy (0.6667, 0.3333, 0.2500)
Dy (0.3333, 0.6667, 0.7500)
Mg (0.3333, 0.6667, 0.2500)
Mg (0.6667, 0.3333, 0.7500)
I (0.6393, 0.6480, 0.1317)
I (0.0087, 0.3607, 0.1317)
I (0.3607, 0.0087, 0.6317)
I (0.9913, 0.6393, 0.8683)
I (0.3520, 0.3607, 0.3683)
I (0.0087, 0.6480, 0.3683)
I (0.6480, 0.0087, 0.8683)
I (0.6393, 0.9913, 0.3683)
I (0.9913, 0.3520, 0.6317)
I (0.3520, 0.9913, 0.1317)
I (0.6480, 0.6393, 0.6317)
I (0.3607, 0.3520, 0.8683)

=====

No. 2
Here is a geometry-optimized NaTa2Sb structure from the Alexandria database. Energies are from PBE.

E (eV/f.u.): -25.21
Formation energy (no corrections) (eV/atom): 0.9831
Size of the total moment (μB per formula unit): 0.000
Calculated density (Mg/m³): 9.5
Space group: No. 122

Cell: 7.9459 7.9459 6.2836 Å, 50.78 50.78 90.00°
Atoms (fractional coordinates):
Sb (0.0000, 0.0000, 0.0000)
Sb (0.7500, 0.2500, 0.5000)
Na (0.5000, 0.5000, 0.0000)
Na (0.2500, 0.7500, 0.5000)
Ta (0.6524, 0.1250, 0.2500)
Ta (0.0976, 0.6250, 0.2500)
Ta (0.3750, 0.3476, 0.7500)
Ta (0.8750, 0.9024, 0.7500)

=====

No. 3
Here is a geometry-optimized CdRe2As structure from the Alexandria database. Energies are from PBE.

E (eV/f.u.): -27.16
ΔH_f (0 K) (meV per atom): 825
Size of the total moment (μB per formula unit): 0.000
Calculated density (Mg/m³): 12.2
Space group: No. 122

Cell: 4.0451 4.0451 9.7733 Å, 78.06 78.06 90.00°
Atoms (fractional coordinates):
Re (0.5407, 0.1250, 0.2500)
Re (0.2093, 0.6250, 0.2500)
Re (0.3750, 0.4593, 0.7500)
Re (0.8750, 0.7907, 0.7500)
As (0.5000, 0.5000, 0.0000)
As (0.2500, 0.7500, 0.5000)
Cd (0.0000, 0.0000, 0.0000)
Cd (0.7500, 0.2500, 0.5000)

=====

No. 4
Here is a geometry-optimized NaCoSiN2 structure from the Alexandria database. Energies are from PBE.

E (eV/f.u.): -25.04
Formation energy (no corrections) (eV/atom): 1.0910
Size of the total moment (μB per formula unit): 0.425
Calculated density (Mg/m³): 3.5
Space group: No. 123

Cell: 3.7098 4.8063 3.7098 Å, 90.00 90.00 90.00°
Last column: magnetic moment on the atom in μB.
Atoms (fractional coordinates):
Na (0.5000, 0.5000, 0.5000)  0.00
Si (0.0000, 0.5000, 0.0000)  -0.02
Co (0.0000, 0.0000, 0.0000)  0.29
N (0.0000, 0.0000, 0.5000)  0.07
N (0.5000, 0.0000, 0.0000)  0.06

=====

No. 5
Here is a geometry-optimized ScTe2Pb structure from the Alexandria database. Energies are from PBE.

E (eV/f.u.): -17.84
Formation energy (no corrections) (eV/atom): -0.3785
Size of the total moment (μB per formula unit): 0.000
Calculated density (Mg/m³): 7.4
Space group: No. 119

Cell: 6.6769 6.6769 6.6769 Å, 141.48 141.48 55.62°
Atoms (fractional coordinates):
Pb (0.5000, 0.5000, 0.0000)
Sc (0.7500, 0.2500, 0.5000)
Te (0.0000, 0.0000, 0.0000)
Te (0.2500, 0.7500, 0.5000)

=====

No. 6
Here is a geometry-optimized NiPbBr3 structure from the Alexandria database. Energies are from PBE.

E (eV/f.u.): -16.11
Formation energy (no corrections) (eV/atom): -0.3196
Size of the total moment (μB per formula unit): 0.000
Calculated density (Mg/m³): 6.7
Space group: No. 221

Cell: 5.0022 5.0022 5.0022 Å, 90.00 90.00 90.00°
Atoms (fractional coordinates):
Pb (0.5000, 0.5000, 0.5000)
Ni (0.0000, 0.0000, 0.0000)
Br (0.0000, 0.5000, 0.0000)
Br (0.0000, 0.0000, 0.5000)
Br (0.5000, 0.0000, 0.0000)

=====

No. 7
Here is a geometry-optimized DyTm12Tl3 structure from the Alexandria database. Energies are from PBE.

E (eV/f.u.): -67.17
ΔH_f (0 K) (meV per atom): -113
Size of the total moment (μB per formula unit): 0.005
Calculated density (Mg/m³): 10.3
Space group: No. 123

Cell: 4.8076 4.8076 19.5696 Å, 90.00 90.00 90.00°
Atoms (fractional coordinates):
Dy (0.0000, 0.0000, 0.0000)
Tm (0.5000, 0.5000, 0.0000)
Tm (0.5000, 0.5000, 0.2547)
Tm (0.5000, 0.5000, 0.5000)
Tm (0.5000, 0.5000, 0.7453)
Tm (0.5000, 0.0000, 0.1293)
Tm (0.5000, 0.0000, 0.3772)
Tm (0.5000, 0.0000, 0.6228)
Tm (0.5000, 0.0000, 0.8707)
Tm (0.0000, 0.5000, 0.1293)
Tm (0.0000, 0.5000, 0.3772)
Tm (0.0000, 0.5000, 0.6228)
Tm (0.0000, 0.5000, 0.8707)
Tl (0.0000, 0.0000, 0.2561)
Tl (0.0000, 0.0000, 0.5000)
Tl (0.0000, 0.0000, 0.7439)

=====

No. 8
Here is a geometry-optimized La5DyAg6 structure from the Alexandria database. Energies are from PBE.

E (eV/f.u.): -49.51
ΔH_f (0 K) (meV per atom): -264
Size of the total moment (μB per formula unit): 0.006
Calculated density (Mg/m³): 7.6
Space group: No. 10

Cell: 5.3845 7.5185 8.5449 Å, 90.00 71.39 90.00°
Atoms (fractional coordinates):
La (0.6696, 0.5000, 0.6607)
La (0.3334, 0.0000, 0.3322)
La (0.0000, 0.5000, 0.0000)
La (0.6666, 0.0000, 0.6678)
La (0.3304, 0.5000, 0.3393)
Ag (0.8396, 0.7588, 0.3205)
Ag (0.8396, 0.2412, 0.3205)
Ag (0.5000, 0.2364, 0.0000)
Ag (0.5000, 0.7636, 0.0000)
Ag (0.1604, 0.7588, 0.6795)
Ag (0.1604, 0.2412, 0.6795)
Dy (0.0000, 0.0000, 0.0000)

=====

No. 9
Here is a geometry-optimized KGa3Au3 structure from the Alexandria database. Energies are from PBE.

E (eV/f.u.): -21.42
ΔH_f (0 K) (meV per atom): -202
Size of the total moment (μB per formula unit): 0.000
Calculated density (Mg/m³): 7.5
Space group: No. 148

Cell: 7.1236 7.1236 9.4375 Å, 67.83 67.83 60.00°
Atoms (fractional coordinates):
K (0.3230, 0.3230, 0.0310)
K (0.6770, 0.6770, 0.9690)
Ga (0.1273, 0.5677, 0.3500)
Ga (0.9550, 0.1273, 0.3500)
Ga (0.5677, 0.9550, 0.3500)
Ga (0.4323, 0.0450, 0.6500)
Ga (0.0450, 0.8727, 0.6500)
Ga (0.8727, 0.4323, 0.6500)
Au (0.4522, 0.6738, 0.6703)
Au (0.6738, 0.2037, 0.6703)
Au (0.2037, 0.4522, 0.6703)
Au (0.7963, 0.5478, 0.3297)
Au (0.3262, 0.7963, 0.3297)
Au (0.5478, 0.3262, 0.3297)

=====

No. 10
Here is a geometry-optimized MgBPd3 structure from the Alexandria database. Energies are from PBE.

E (eV/f.u.): -25.77
ΔH_f (0 K) (meV per atom): -383
Size of the total moment (μB per formula unit): 0.000
Calculated density (Mg/m³): 8.1
Space group: No. 12

Cell: 14.5880 5.3032 5.3032 Å, 131.72 143.44 36.56°
Atoms (fractional coordinates):
Mg (0.5831, 0.0297, 0.9703)
Mg (0.4169, 0.9703, 0.0297)
B (0.9183, 0.9643, 0.0357)
B (0.0817, 0.0357, 0.9643)
Pd (0.7969, 0.3231, 0.6769)
Pd (0.2031, 0.6769, 0.3231)
Pd (0.9513, 0.4098, 0.5902)
Pd (0.0487, 0.5902, 0.4098)
Pd (0.3431, 0.7895, 0.2105)
Pd (0.6569, 0.2105, 0.7895)

=====

No. 11
Here is a geometry-optimized ScZnTeF2 structure from the Alexandria database. Energies are from PBE.

E (eV/f.u.): -25.45
Formation energy (no corrections) (eV/atom): -2.1914
Size of the total moment (μB per formula unit): 0.000
Calculated density (Mg/m³): 4.6
Space group: No. 123

Cell: 4.1102 5.9607 4.1102 Å, 90.00 90.00 90.00°
Atoms (fractional coordinates):
Sc (0.0000, 0.0000, 0.0000)
Zn (0.5000, 0.5000, 0.5000)
Te (0.0000, 0.5000, 0.0000)
F (0.0000, 0.0000, 0.5000)
F (0.5000, 0.0000, 0.0000)

=====

No. 12
Here is a geometry-optimized K2Np2PS2 structure from the Alexandria database. Energies are from PBE.

E (eV/f.u.): -46.43
Formation energy (no corrections) (eV/atom): -0.6694
Size of the total moment (μB per formula unit): 8.614
Calculated density (Mg/m³): 5.0
Space group: No. 139

Cell: 5.2077 5.2077 8.7878 Å, 107.24 107.24 90.00°
Last column: magnetic moment on the atom in μB.
Atoms (fractional coordinates):
K (0.1974, 0.1974, 0.3947)  0.01
K (0.8026, 0.8026, 0.6053)  0.01
Np (0.0000, 0.5000, 0.0000)  4.00
Np (0.5000, 0.0000, 0.0000)  4.00
P (0.0000, 0.0000, 0.0000)  -0.13
S (0.3957, 0.3957, 0.7915)  -0.06
S (0.6043, 0.6043, 0.2085)  -0.06